# 1
The following is a PBE calculation of a relaxed structure of Cd3Ag3Hg, from the Alexandria database.

Properties
Crystal system: cubic
ΔE_f, eV/atom: 0.4119
V, Å³ per cell: 477.28

a b c (Å): 7.815 7.815 7.815
angles (deg): 90.00 90.00 90.00
Positions (direct):
1 Hg 0.500 0.500 0.500
2 Hg 0.000 0.000 0.000
3 Ag 0.000 0.250 0.500
4 Ag 0.000 0.750 0.500
5 Ag 0.500 0.000 0.750
6 Ag 0.750 0.500 0.000
7 Ag 0.500 0.000 0.250
8 Ag 0.250 0.500 0.000
9 Cd 0.250 0.000 0.500
10 Cd 0.000 0.500 0.250
11 Cd 0.500 0.750 0.000
12 Cd 0.750 0.000 0.500
13 Cd 0.000 0.500 0.750
14 Cd 0.500 0.250 0.000

# 2
The following is a PBE calculation of a relaxed structure of Cd3Ag3Hg, from the Alexandria database.

Properties
Crystal system: trigonal
ΔE_f, eV/atom: 0.0424
V, Å³ per cell: 305.66

a b c (Å): 7.019 7.019 8.231
angles (deg): 64.76 64.76 60.00
Positions (direct):
1 Cd 0.219 0.713 0.187
2 Cd 0.881 0.219 0.187
3 Cd 0.713 0.881 0.187
4 Cd 0.287 0.119 0.813
5 Cd 0.119 0.781 0.813
6 Cd 0.781 0.287 0.813
7 Ag 0.580 0.759 0.597
8 Ag 0.759 0.064 0.597
9 Ag 0.064 0.580 0.597
10 Ag 0.936 0.420 0.403
11 Ag 0.241 0.936 0.403
12 Ag 0.420 0.241 0.403
13 Hg 0.315 0.315 0.054
14 Hg 0.685 0.685 0.946

# 3
The following is a PBE calculation of a relaxed structure of CdAg4Hg, from the Alexandria database.

Properties
Crystal system: orthorhombic
ΔE_f, eV/atom: 0.0233
V, Å³ per cell: 230.52

a b c (Å): 4.903 4.988 10.052
angles (deg): 104.37 104.08 90.00
Positions (direct):
1 Cd 0.750 0.791 0.000
2 Cd 0.250 0.209 0.000
3 Ag 0.832 0.374 0.165
4 Ag 0.913 0.941 0.324
5 Ag 0.332 0.790 0.165
6 Ag 0.413 0.383 0.324
7 Ag 0.087 0.059 0.676
8 Ag 0.168 0.626 0.835
9 Ag 0.587 0.617 0.676
10 Ag 0.668 0.210 0.835
11 Hg 0.500 0.000 0.500
12 Hg 0.000 0.500 0.500

# 4
The following is a PBE calculation of a relaxed structure of Cd8Ag3Hg2, from the Alexandria database.

Properties
Crystal system: orthorhombic
ΔE_f, eV/atom: 0.0302
V, Å³ per cell: 292.44

a b c (Å): 4.788 7.408 9.038
angles (deg): 114.19 90.00 90.00
Positions (direct):
1 Cd 0.000 0.338 0.677
2 Cd 0.000 0.662 0.323
3 Cd 0.000 0.873 0.747
4 Cd 0.000 0.127 0.253
5 Cd 0.500 0.809 0.208
6 Cd 0.500 0.399 0.208
7 Cd 0.500 0.601 0.792
8 Cd 0.500 0.191 0.792
9 Ag 0.500 0.000 0.000
10 Ag 0.000 0.289 0.000
11 Ag 0.000 0.711 0.000
12 Hg 0.500 0.767 0.535
13 Hg 0.500 0.233 0.465

# 5
The following is a PBE calculation of a relaxed structure of Cd6AgHg4, from the Alexandria database.

Properties
Crystal system: monoclinic
ΔE_f, eV/atom: 0.0252
V, Å³ per cell: 261.56

a b c (Å): 6.100 6.100 7.796
angles (deg): 108.25 108.25 83.07
Positions (direct):
1 Cd 0.106 0.696 0.674
2 Cd 0.696 0.106 0.674
3 Cd 0.872 0.872 0.317
4 Cd 0.035 0.467 0.997
5 Cd 0.334 0.334 0.354
6 Cd 0.467 0.035 0.997
7 Ag 0.987 0.987 0.017
8 Hg 0.800 0.386 0.294
9 Hg 0.624 0.624 0.725
10 Hg 0.386 0.800 0.294
11 Hg 0.192 0.192 0.657

# 6
The following is a PBE calculation of a relaxed structure of CdAgHg, from the Alexandria database.

Properties
Crystal system: triclinic
ΔE_f, eV/atom: 0.0443
V, Å³ per cell: 126.83

a b c (Å): 5.419 4.534 5.944
angles (deg): 90.08 105.58 65.33
Positions (direct):
1 Cd 0.647 0.177 0.402
2 Cd 0.353 0.823 0.598
3 Ag 0.671 0.164 0.910
4 Ag 0.329 0.836 0.090
5 Hg 0.023 0.488 0.758
6 Hg 0.977 0.512 0.242